# 1
The following is a PBE-GGA calculation of ZnHgC3 after structural relaxation, from the Alexandria database.

```
data_ZnHgC3
_cell_length_a 4.076
_cell_length_b 4.076
_cell_length_c 4.076
_cell_angle_alpha 90.00
_cell_angle_beta 90.00
_cell_angle_gamma 90.00
_symmetry_space_group_name_H-M 'P m -3 m'
_symmetry_Int_Tables_number 221
_symmetry_space_group_name_Hall '-P 4 2 3'
loop_
_atom_site_label
_atom_site_type_symbol
_atom_site_fract_x
_atom_site_fract_y
_atom_site_fract_z
Zn1 Zn 0.000 0.000 0.000
Hg1 Hg 0.500 0.500 0.500
C1 C 0.000 0.000 0.500
```

Computed properties:
As for the calculated total energy: -14.86 eV/cell.

# 2
The following is a PBE-GGA calculation of ZnHgC2 after structural relaxation, from the Alexandria database.

```
data_ZnHgC2
_cell_length_a 5.887
_cell_length_b 5.887
_cell_length_c 5.887
_cell_angle_alpha 90.00
_cell_angle_beta 90.00
_cell_angle_gamma 90.00
_symmetry_space_group_name_H-M 'F m -3 m'
_symmetry_Int_Tables_number 225
_symmetry_space_group_name_Hall '-F 4 2 3'
loop_
_atom_site_label
_atom_site_type_symbol
_atom_site_fract_x
_atom_site_fract_y
_atom_site_fract_z
Zn1 Zn 0.000 0.000 0.000
Hg1 Hg 0.000 0.000 0.500
C1 C 0.250 0.250 0.250
```

Computed properties:
As for the calculated total energy: -42.36 eV/cell.

# 3
The following is a PBE-GGA calculation of ZnHg3C after structural relaxation, from the Alexandria database.

```
data_ZnHg3C
_cell_length_a 5.254
_cell_length_b 5.254
_cell_length_c 5.254
_cell_angle_alpha 90.00
_cell_angle_beta 90.00
_cell_angle_gamma 90.00
_symmetry_space_group_name_H-M 'P m -3 m'
_symmetry_Int_Tables_number 221
_symmetry_space_group_name_Hall '-P 4 2 3'
loop_
_atom_site_label
_atom_site_type_symbol
_atom_site_fract_x
_atom_site_fract_y
_atom_site_fract_z
Zn1 Zn 0.000 0.000 0.000
Hg1 Hg 0.000 0.000 0.500
C1 C 0.500 0.500 0.500
```

Computed properties:
As for the calculated total energy: -4.17 eV/cell.

# 4
The following is a PBE-GGA calculation of ZnHg3C after structural relaxation, from the Alexandria database.

```
data_ZnHg3C
_cell_length_a 4.819
_cell_length_b 4.819
_cell_length_c 4.819
_cell_angle_alpha 90.00
_cell_angle_beta 90.00
_cell_angle_gamma 90.00
_symmetry_space_group_name_H-M 'P m -3 m'
_symmetry_Int_Tables_number 221
_symmetry_space_group_name_Hall '-P 4 2 3'
loop_
_atom_site_label
_atom_site_type_symbol
_atom_site_fract_x
_atom_site_fract_y
_atom_site_fract_z
Zn1 Zn 0.000 0.000 0.000
Hg1 Hg 0.000 0.500 0.500
C1 C 0.500 0.500 0.500
```

Computed properties:
As for the calculated total energy: -6.41 eV/cell.

# 5
The following is a PBE-GGA calculation of ZnHgC3 after structural relaxation, from the Alexandria database.

```
data_ZnHgC3
_cell_length_a 4.352
_cell_length_b 4.352
_cell_length_c 4.352
_cell_angle_alpha 90.00
_cell_angle_beta 90.00
_cell_angle_gamma 90.00
_symmetry_space_group_name_H-M 'P m -3 m'
_symmetry_Int_Tables_number 221
_symmetry_space_group_name_Hall '-P 4 2 3'
loop_
_atom_site_label
_atom_site_type_symbol
_atom_site_fract_x
_atom_site_fract_y
_atom_site_fract_z
Zn1 Zn 0.000 0.000 0.000
Hg1 Hg 0.500 0.500 0.500
C1 C 0.000 0.500 0.500
```

Computed properties:
As for the calculated total energy: -11.90 eV/cell.

# 6
The following is a PBE-GGA calculation of ZrZnHgC2 after structural relaxation, from the Alexandria database.

```
data_ZrZnHgC2
_cell_length_a 4.298
_cell_length_b 4.298
_cell_length_c 4.811
_cell_angle_alpha 90.00
_cell_angle_beta 90.00
_cell_angle_gamma 90.00
_symmetry_space_group_name_H-M 'P 4/m m m'
_symmetry_Int_Tables_number 123
_symmetry_space_group_name_Hall '-P 4 2'
loop_
_atom_site_label
_atom_site_type_symbol
_atom_site_fract_x
_atom_site_fract_y
_atom_site_fract_z
Zr1 Zr 0.000 0.000 0.000
Zn1 Zn 0.500 0.500 0.000
Hg1 Hg 0.500 0.500 0.500
C1 C 0.000 0.500 0.500
```

Computed properties:
As for the calculated total energy: -17.18 eV/cell.

# 7
The following is a PBE-GGA calculation of Zr7Hg2C2 after structural relaxation, from the Alexandria database.

```
data_Zr7Hg2C2
_cell_length_a 9.566
_cell_length_b 7.150
_cell_length_c 6.416
_cell_angle_alpha 90.00
_cell_angle_beta 90.06
_cell_angle_gamma 90.00
_symmetry_space_group_name_H-M 'C 1 2/m 1'
_symmetry_Int_Tables_number 12
_symmetry_space_group_name_Hall '-C 2y'
loop_
_atom_site_label
_atom_site_type_symbol
_atom_site_fract_x
_atom_site_fract_y
_atom_site_fract_z
Zr1 Zr 0.000 0.000 0.000
Zr2 Zr 0.000 0.500 0.221
Zr3 Zr 0.250 0.250 0.232
Hg1 Hg 0.000 0.185 0.500
C1 C 0.239 0.500 0.000
```

Computed properties:
As for the calculated total energy: -159.84 eV/cell.

# 8
The following is a PBE-GGA calculation of ZrHgC2 after structural relaxation, from the Alexandria database.

```
data_ZrHgC2
_cell_length_a 5.128
_cell_length_b 5.128
_cell_length_c 10.422
_cell_angle_alpha 90.00
_cell_angle_beta 90.00
_cell_angle_gamma 90.00
_symmetry_space_group_name_H-M 'I -4 2 d'
_symmetry_Int_Tables_number 122
_symmetry_space_group_name_Hall 'I -4 2bw'
loop_
_atom_site_label
_atom_site_type_symbol
_atom_site_fract_x
_atom_site_fract_y
_atom_site_fract_z
Zr1 Zr 0.000 0.000 0.000
Hg1 Hg 0.000 0.000 0.500
C1 C 0.234 0.250 0.125
```

Computed properties:
As for the calculated total energy: -91.16 eV/cell.

# 9
The following is a PBE-GGA calculation of ZrHgC after structural relaxation, from the Alexandria database.

```
data_ZrHgC
_cell_length_a 3.8381
_cell_length_b 3.8381
_cell_length_c 28.2057
_cell_angle_alpha 90.00
_cell_angle_beta 90.00
_cell_angle_gamma 120.00
_symmetry_space_group_name_H-M 'R -3 m'
_symmetry_Int_Tables_number 166
_symmetry_space_group_name_Hall '-R 3 2"'
loop_
_atom_site_label
_atom_site_type_symbol
_atom_site_fract_x
_atom_site_fract_y
_atom_site_fract_z
Zr1 Zr 0.0000 0.0000 0.1250
Hg1 Hg 0.0000 0.0000 0.2974
C1 C 0.0000 0.0000 0.2027
```

Computed properties:
As for the calculated total energy: -109.28 eV/cell.

# 10
The following is a PBE-GGA calculation of Zr2Hg2C after structural relaxation, from the Alexandria database.

```
data_Zr2Hg2C
_cell_length_a 3.3643
_cell_length_b 3.3643
_cell_length_c 29.6419
_cell_angle_alpha 90.00
_cell_angle_beta 90.00
_cell_angle_gamma 120.00
_symmetry_space_group_name_H-M 'R -3 m'
_symmetry_Int_Tables_number 166
_symmetry_space_group_name_Hall '-R 3 2"'
loop_
_atom_site_label
_atom_site_type_symbol
_atom_site_fract_x
_atom_site_fract_y
_atom_site_fract_z
Zr1 Zr 0.0000 0.0000 0.1246
Hg1 Hg 0.0000 0.0000 0.3757
C1 C 0.0000 0.0000 0.5000
```

Computed properties:
As for the calculated total energy: -87.94 eV/cell.

# 11
The following is a PBE-GGA calculation of ZrHg2C after structural relaxation, from the Alexandria database.

```
data_ZrHg2C
_cell_length_a 8.055
_cell_length_b 8.055
_cell_length_c 4.731
_cell_angle_alpha 90.00
_cell_angle_beta 90.00
_cell_angle_gamma 90.00
_symmetry_space_group_name_H-M 'I -4 2 d'
_symmetry_Int_Tables_number 122
_symmetry_space_group_name_Hall 'I -4 2bw'
loop_
_atom_site_label
_atom_site_type_symbol
_atom_site_fract_x
_atom_site_fract_y
_atom_site_fract_z
Zr1 Zr 0.000 0.000 0.000
Hg1 Hg 0.163 0.750 0.625
C1 C 0.000 0.000 0.500
```

Computed properties:
As for the calculated total energy: -62.45 eV/cell.

# 12
The following is a PBE-GGA calculation of Ho2C after structural relaxation, from the Alexandria database.

```
data_Ho2C
_cell_length_a 6.157
_cell_length_b 3.553
_cell_length_c 6.210
_cell_angle_alpha 90.00
_cell_angle_beta 91.11
_cell_angle_gamma 90.00
_symmetry_space_group_name_H-M 'C 1 2/m 1'
_symmetry_Int_Tables_number 12
_symmetry_space_group_name_Hall '-C 2y'
loop_
_atom_site_label
_atom_site_type_symbol
_atom_site_fract_x
_atom_site_fract_y
_atom_site_fract_z
Ho1 Ho 0.163 0.000 0.283
C1 C 0.000 0.500 0.500
```

Computed properties:
As for the calculated total energy: -38.44 eV/cell.